First-principles (GGA-PBE) data for crystalline MgRePb at its relaxed geometry, as listed in Alexandria.

Unit cell a=5.3175 b=5.3175 c=5.3175 alpha=141.72 beta=141.72 gamma=55.26
Last column: nearest neighbours and their distance in Å.
Sites, in units of the cell vectors:
Mg: 0.0123 0.0123 0.0000  4 Re 2.84, 5 Pb 2.95-3.03
Pb: 0.3257 0.3257 0.0000  5 Re 2.91-3.17, 5 Mg 2.95-3.03
Re: 0.6620 0.6620 0.0000  4 Mg 2.84, 5 Pb 2.91-3.17

Energy above the most stable polymorph in this dataset = 0 meV/atom
Size of the total moment = 0.87 μB per formula unit
Energy of formation from the pure elements = 1.918 eV per formula unit

First-principles (GGA-PBE) data for crystalline Hg2MoAu at its relaxed geometry, as listed in Alexandria.

Unit cell a=10.3176 b=10.3176 c=10.3176 alpha=16.65 beta=16.65 gamma=16.65
Last column: nearest neighbours and their distance in Å.
Sites, in units of the cell vectors:
Au: 0.7566 0.7566 0.7566  3 Mo 2.82, 6 Au 2.99, 3 Hg 3.12
Hg: 0.0049 0.0049 0.0049  6 Hg 2.99, 3 Au 3.12
Hg: 0.2423 0.2423 0.2423  3 Mo 2.98, 6 Hg 2.99
Mo: 0.4962 0.4962 0.4962  3 Au 2.82, 3 Hg 2.98, 6 Mo 2.99

Energy above the most stable polymorph in this dataset = 37 meV/atom
Size of the total moment = 0.10 μB per formula unit
Energy of formation from the pure elements = 1.575 eV per formula unit

First-principles (GGA-PBE) data for crystalline YMgZnPb at its relaxed geometry, as listed in Alexandria.

Unit cell a=5.1373 b=5.1373 c=5.1373 alpha=60.00 beta=60.00 gamma=60.00
Last column: nearest neighbours and their distance in Å.
Sites, in units of the cell vectors:
Pb: 0.5000 0.5000 0.5000  4 Y 3.15, 4 Mg 3.15
Y: 0.7500 0.7500 0.7500  4 Pb 3.15, 4 Zn 3.15
Zn: 0.0000 0.0000 0.0000  4 Mg 3.15, 4 Y 3.15
Mg: 0.2500 0.2500 0.2500  4 Pb 3.15, 4 Zn 3.15

Energy above the most stable polymorph in this dataset = 112 meV/atom
Size of the total moment = 0.00 μB per formula unit
Energy of formation from the pure elements = -0.804 eV per formula unit

First-principles (GGA-PBE) data for crystalline TiNb3Mo3 at its relaxed geometry, as listed in Alexandria.

Unit cell a=6.4135 b=6.4135 c=6.2780 alpha=90.00 beta=90.00 gamma=92.39
Last column: nearest neighbours and their distance in Å.
Sites, in units of the cell vectors:
Ti: 0.2419 0.2419 0.0000  6 Mo 2.66-2.79
Ti: 0.7581 0.7581 0.0000  6 Mo 2.66-2.79
Nb: 0.2442 0.2442 0.5000  6 Mo 2.68-2.80
Nb: 0.2601 0.7399 0.5000  6 Mo 2.73-2.87
Nb: 0.7399 0.2601 0.5000  6 Mo 2.73-2.87
Nb: 0.2494 0.7506 0.0000  6 Mo 2.71-2.79
Nb: 0.7506 0.2494 0.0000  6 Mo 2.71-2.79
Nb: 0.7558 0.7558 0.5000  6 Mo 2.68-2.80
Mo: 0.0000 0.0000 0.7501  2 Ti 2.66, 6 Nb 2.68-2.87
Mo: 0.5000 0.0000 0.2486  6 Nb 2.71-2.80, 2 Ti 2.79
Mo: 0.0000 0.5000 0.2486  6 Nb 2.71-2.80, 2 Ti 2.79
Mo: 0.5000 0.0000 0.7514  6 Nb 2.71-2.80, 2 Ti 2.79
Mo: 0.0000 0.5000 0.7514  6 Nb 2.71-2.80, 2 Ti 2.79
Mo: 0.0000 0.0000 0.2499  2 Ti 2.66, 6 Nb 2.68-2.87

Size of the total moment = 0.00 μB per formula unit
Energy of formation from the pure elements = 1.340 eV per formula unit

First-principles (GGA-PBE) data for crystalline Ta2C4O at its relaxed geometry, as listed in Alexandria.

Unit cell a=3.1944 b=3.1944 c=6.9680 alpha=76.75 beta=76.75 gamma=90.00
Last column: nearest neighbours and their distance in Å.
Sites, in units of the cell vectors:
C: 0.8136 0.8136 0.3727  5 Ta 2.27-2.33, 1 O 2.46
C: 0.1864 0.1864 0.6273  5 Ta 2.27-2.33, 1 O 2.46
C: 0.0000 0.5000 0.0000  2 O 1.60
C: 0.5000 0.0000 0.0000  2 O 1.60
O: 0.0000 0.0000 0.0000  4 C 1.60
Ta: 0.6416 0.6416 0.7168  9 C 2.27-2.46
Ta: 0.3584 0.3584 0.2832  9 C 2.27-2.46

Size of the total moment = 0.00 μB per formula unit
Energy relative to the elements, uncorrected = 901 kJ/mol of formula units

First-principles (GGA-PBE) data for crystalline ScBiWS2 at its relaxed geometry, as listed in Alexandria.

Unit cell a=4.7604 b=4.7604 c=5.5684 alpha=90.00 beta=90.00 gamma=90.00
Last column: nearest neighbours and their distance in Å.
Sites, in units of the cell vectors:
Sc: 0.0000 0.0000 0.0000  4 S 2.38
S: 0.0000 0.5000 0.0000  2 Sc 2.38
S: 0.5000 0.0000 0.0000  2 Sc 2.38
Bi: 0.5000 0.5000 0.5000  4 W 3.37, 8 S 3.66
W: 0.0000 0.0000 0.5000  2 Sc 2.78

Size of the total moment = 2.71 μB per formula unit
Energy relative to the elements, uncorrected = 331 kJ/mol of formula units